Density functional theory data (PBE) for a relaxed structure of CoSb2W.

```
CoSb2W
1.0
3.2328 0.0000 0.0000
-1.6164 2.7996 0.0000
0.0000 0.0000 29.4548
Co Sb W
3 6 3
Cartesian
0.0000 0.0000 0.0000 Co
0.0000 1.8664 19.6366 Co
1.6164 0.9332 9.8183 Co
0.0000 0.0000 7.8042 Sb
0.0000 0.0000 13.5577 Sb
0.0000 1.8664 3.7394 Sb
0.0000 1.8664 27.4407 Sb
1.6164 0.9332 17.6224 Sb
1.6164 0.9332 23.3759 Sb
0.0000 0.0000 21.1162 W
0.0000 1.8664 11.2979 W
1.6164 0.9332 1.4797 W
```

Results
Symmetry   No. 160
Energy relative to the elements, uncorrected   1.77 eV per formula unit
ρ   9.09 g/cm³
Total energy   -79.607 eV/cell
Offset from the most stable computed form   197 meV per atom
V   266.6 Å³ per cell